{
  "formula": "SrMgAs2",
  "functional": "PBE",
  "state": "optimized geometry",
  "lattice": [[-1.459, -0.864, 4.506], [3.653, -3.080, 0.592], [2.356, 3.054, 1.349]],
  "species": ["As", "Mg", "Sr", "As"],
  "fractional_positions": [[0.000, 0.000, 0.000], [0.500, 0.000, 0.500], [0.000, 0.500, 0.500], [0.500, 0.500, 0.000]],
  "e_form_ev_per_atom": -0.524,
  "total_magnetization_mub_per_atom": 0.000,
  "total_energy_ev_per_atom": -3.668,
  "sg": "P4/mmm"
}